This record from Alexandria describes NpNiP2Ir2 after structural relaxation. The functional is PBE.

**VASP energy**: -50.1 eV/f.u.
**DFT formation energy**: -2.83 eV/f.u.

Geometry as POSCAR:
```
NpNiP2Ir2
1.0
3.664 0.000 0.000
0.000 8.246 0.000
0.000 0.000 6.109
Np Ni P Ir
2 2 4 4
Direct
0.000 0.055 0.000
0.000 0.945 0.500
0.500 0.214 0.673
0.500 0.786 0.173
0.000 0.377 0.787
0.000 0.623 0.287
0.500 0.182 0.314
0.500 0.818 0.814
0.000 0.355 0.405
0.000 0.645 0.905
0.500 0.375 0.037
0.500 0.625 0.537
```


This record from Alexandria describes AgBi2AuSe after structural relaxation. The functional is PBE.

**VASP energy**: -14.4 eV/f.u.

Geometry as POSCAR:
```
AgBi2AuSe
1.0
5.622 0.000 0.000
0.000 5.622 0.000
0.000 0.000 4.954
Ag Bi Au Se
1 2 1 1
Direct
0.000 0.000 0.000
0.000 0.500 0.500
0.500 0.000 0.500
0.500 0.500 0.000
0.500 0.500 0.500
```


This record from Alexandria describes Be2TcSb after structural relaxation. The functional is PBE.

**VASP energy**: -19.1 eV/f.u.

Geometry as POSCAR:
```
Be2TcSb
1.0
-3.359 3.359 2.667
3.359 -3.359 2.667
3.359 3.359 -2.667
Be Tc Sb
4 2 2
Direct
0.104 0.125 0.479
0.375 0.896 0.021
0.646 0.625 0.521
0.875 0.354 0.979
0.000 0.000 0.000
0.750 0.250 0.500
0.250 0.750 0.500
0.500 0.500 0.000
```